GGA-PBE SrLiGeAu3, relaxed; V = 128.77 Å³/f.u.; symmetry = No. 63; DFT formation energy = -0.406 eV/atom
1.0
6.116 0.000 0.000
0.000 6.794 0.000
0.000 -3.397 6.198
Au Sr Li Ge
6 2 2 2
Direct
0.500 0.718 0.000
0.000 0.718 0.000
0.750 0.842 0.683
0.500 0.282 0.000
0.000 0.282 0.000
0.250 0.158 0.317
0.750 0.290 0.581
0.250 0.710 0.419
0.750 0.050 0.100
0.250 0.950 0.900
0.750 0.633 0.265
0.250 0.367 0.735

=====

GGA-PBE MgFeNi2, relaxed; V = 49.97 Å³/f.u.; symmetry = No. 216; DFT formation energy = 0.093 eV/atom
1.0
-1.801 -2.122 -3.057
-1.619 -3.730 0.748
-4.102 -0.515 -0.021
Ni Mg Fe
2 1 1
Direct
0.250 0.250 0.250
0.000 0.000 0.000
0.750 0.750 0.750
0.500 0.500 0.500